ScCoBr2F: optimized geometry, PBE+U.

Space-group type: P4/mmm, No. 123
E, eV/atom: -3.925
M_tot, μB/atom: 0.37
Mass density, Mg/m³: 4.2

a b c (Å): 5.5398 5.5398 3.6160
angles (deg): 90.00 90.00 90.00
Last column: nearest neighbours and their distance in Å.
Element x y z (fractional)
Sc1 0.0000 0.0000 0.0000  8 Br 3.31, 2 Sc 3.62
Co1 0.5000 0.5000 0.0000  2 F 1.81
Br1 0.0000 0.5000 0.5000  2 F 2.77
Br2 0.5000 0.0000 0.5000  2 F 2.77
F1 0.5000 0.5000 0.5000  2 Co 1.81